# 1
ReSiOs: PBEsol geometry, meta-GGA SCAN.

The calculated volume comes out at 13.7 A^3/atom. For the formation energy without anion corrections, the calculation gives -0.0513 eV per atom. The value obtained for the total energy is -51.049 eV/atom.

Unit cell a=2.7570 b=2.7570 c=6.2256 alpha=90.00 beta=90.00 gamma=120.00
Space group P3m1 (No. 156)
Unique sites:
Re 0.0000 0.0000 0.0000 x1
Si 0.6667 0.3333 0.6660 x1
Os 0.3333 0.6667 0.3446 x1



# 2
Mn5Si: PBEsol geometry, meta-GGA SCAN.

The calculated volume comes out at 10.6 A^3/atom. For the formation energy without anion corrections, the calculation gives -0.1978 eV per atom. The value obtained for the total energy is -17.080 eV/atom.

Unit cell a=3.864 b=8.499 c=3.868 alpha=90.00 beta=90.00 gamma=90.00
Space group Cmmm (No. 65)
Unique sites:
Mn 0.000 0.000 0.000 x2
Mn 0.000 0.168 0.500 x4
Mn 0.000 0.331 0.000 x4
Si 0.000 0.500 0.500 x2